A plane-wave DFT calculation with GGA-PBE was carried out for a geometry-optimized YHoSiNi structure.

Lattice parameters (Å, degrees): 3.9763 4.0285 5.6539 90.00 110.59 90.00
Fractional positions:
Ho (0.8598, 0.5000, 0.7196)
Ni (0.4319, 0.0000, 0.8639)
Y (0.1411, 0.0000, 0.2823)
Si (0.5671, 0.5000, 0.1343)

Density   6.67 g cm⁻³


A plane-wave DFT calculation with GGA-PBE was carried out for a geometry-optimized Ho2Zn2SiNi5 structure.

Lattice parameters (Å, degrees): 3.2116 9.5885 9.5885 90.00 90.00 90.00
Fractional positions:
Zn (0.0000, 0.8728, 0.3728)
Zn (0.0000, 0.3728, 0.1272)
Zn (0.0000, 0.1272, 0.6272)
Zn (0.0000, 0.6272, 0.8728)
Ni (0.5000, 0.0000, 0.5000)
Ni (0.5000, 0.3131, 0.5489)
Ni (0.5000, 0.8131, 0.9511)
Ni (0.5000, 0.4511, 0.3131)
Ni (0.5000, 0.5489, 0.6869)
Ni (0.5000, 0.9511, 0.1869)
Ni (0.5000, 0.5000, 0.0000)
Ni (0.5000, 0.1869, 0.0489)
Ni (0.5000, 0.6869, 0.4511)
Ni (0.5000, 0.0489, 0.8131)
Ho (0.0000, 0.1738, 0.3262)
Ho (0.0000, 0.8262, 0.6738)
Ho (0.0000, 0.6738, 0.1738)
Ho (0.0000, 0.3262, 0.8262)
Si (0.0000, 0.0000, 0.0000)
Si (0.0000, 0.5000, 0.5000)

Density   8.80 g cm⁻³


A plane-wave DFT calculation with GGA-PBE was carried out for a geometry-optimized HoZnSi2Ni5 structure.

Lattice parameters (Å, degrees): 3.8952 3.8952 8.2837 90.00 90.00 90.00
Fractional positions:
Zn (0.0000, 0.0000, 0.0000)
Si (0.5000, 0.5000, 0.8628)
Si (0.5000, 0.5000, 0.1372)
Ho (0.0000, 0.0000, 0.5000)
Ni (0.5000, 0.5000, 0.5000)
Ni (0.5000, 0.0000, 0.2670)
Ni (0.5000, 0.0000, 0.7330)
Ni (0.0000, 0.5000, 0.7330)
Ni (0.0000, 0.5000, 0.2670)

Density   7.66 g cm⁻³


A plane-wave DFT calculation with GGA-PBE was carried out for a geometry-optimized Ho2Zn3SiNi12 structure.

Lattice parameters (Å, degrees): 9.0510 9.0510 9.0510 38.74 38.74 38.74
Fractional positions:
Ni (0.0808, 0.6421, 0.0808)
Ni (0.4218, 0.8115, 0.4218)
Ni (0.0808, 0.0808, 0.6421)
Ni (0.6421, 0.0808, 0.0808)
Ni (0.8115, 0.4218, 0.4218)
Ni (0.9192, 0.3579, 0.9192)
Ni (0.9192, 0.9192, 0.3579)
Ni (0.5782, 0.1885, 0.5782)
Ni (0.4218, 0.4218, 0.8115)
Ni (0.1885, 0.5782, 0.5782)
Ni (0.5782, 0.5782, 0.1885)
Ni (0.3579, 0.9192, 0.9192)
Zn (0.0000, 0.0000, 0.5000)
Zn (0.5000, 0.0000, 0.0000)
Zn (0.0000, 0.5000, 0.0000)
Si (0.0000, 0.0000, 0.0000)
Ho (0.3498, 0.3498, 0.3498)
Ho (0.6502, 0.6502, 0.6502)

Density   8.01 g cm⁻³


A plane-wave DFT calculation with GGA-PBE was carried out for a geometry-optimized Ho2ZnSi4Ni3 structure.

Lattice parameters (Å, degrees): 3.9583 3.9583 9.7480 90.00 90.00 90.00
Fractional positions:
Ho (0.0000, 0.5000, 0.7568)
Ho (0.5000, 0.0000, 0.2432)
Si (0.5000, 0.5000, 0.0000)
Si (0.5000, 0.0000, 0.6447)
Si (0.0000, 0.0000, 0.0000)
Si (0.0000, 0.5000, 0.3553)
Ni (0.0000, 0.0000, 0.5000)
Ni (0.5000, 0.0000, 0.8786)
Ni (0.0000, 0.5000, 0.1214)
Zn (0.5000, 0.5000, 0.5000)

Density   7.43 g cm⁻³


A plane-wave DFT calculation with GGA-PBE was carried out for a geometry-optimized Ho3Zn2SiNi9 structure.

Lattice parameters (Å, degrees): 5.9920 5.9920 8.1235 90.00 90.00 120.00
Fractional positions:
Ni (0.2669, 0.1335, 0.7119)
Ni (0.1335, 0.8665, 0.2881)
Ni (0.7331, 0.8665, 0.2881)
Ni (0.5000, 0.0000, 0.0000)
Ni (0.5000, 0.5000, 0.0000)
Ni (0.8665, 0.7331, 0.7119)
Ni (0.0000, 0.5000, 0.0000)
Ni (0.8665, 0.1335, 0.7119)
Ni (0.1335, 0.2669, 0.2881)
Si (0.0000, 0.0000, 0.5000)
Zn (0.6667, 0.3333, 0.8065)
Zn (0.3333, 0.6667, 0.1935)
Ho (0.0000, 0.0000, 0.0000)
Ho (0.3333, 0.6667, 0.6984)
Ho (0.6667, 0.3333, 0.3016)

Density   7.77 g cm⁻³


We obtain energy relative to the elements, uncorrected values of -0.649, -0.323, -0.261, -0.016, -0.757, -0.086 eV/atom for the records listed above, in that order.
We obtain total magnetic moment values of 0.00, 0.00, 0.00, 0.00, 0.00, 0.00 μB/cell for the records listed above, in that order.